Na5C2O6 PBE optimized geometry; space-group type = P2_1/c; DOS at the Fermi energy = 0.084 states/eV per atom; raw formation energy = -1.49 eV per atom
1.0
-2.644 -2.347 1.287
4.780 -1.356 7.349
-8.795 4.976 6.640
Na C O
10 4 12
Direct
0.244 0.335 0.524
0.756 0.665 0.476
0.756 0.835 0.976
0.244 0.165 0.024
0.577 0.545 0.240
0.423 0.455 0.760
0.423 0.045 0.260
0.577 0.955 0.740
0.500 0.500 0.000
0.500 0.000 0.500
0.985 0.310 0.308
0.015 0.690 0.692
0.015 0.810 0.192
0.985 0.190 0.808
0.754 0.194 0.353
0.246 0.806 0.647
0.246 0.694 0.147
0.754 0.306 0.853
0.271 0.307 0.196
0.729 0.693 0.804
0.729 0.807 0.304
0.271 0.193 0.696
0.931 0.430 0.378
0.069 0.570 0.622
0.069 0.930 0.122
0.931 0.070 0.878